<1>
# PrHoIr

A relaxed structure of PrHoIr (GGA-PBE, the Alexandria database).

POSCAR file:
```
PrHoIr
1.0
4.892 0.000 0.000
0.000 4.904 0.000
0.031 0.067 6.901
Pr Ho Ir
2 2 2
direct
0.003 0.493 0.250
0.997 0.507 0.750
0.497 0.006 0.750
0.503 0.994 0.250
0.000 0.000 0.000
0.500 0.500 0.500
```



<2>
# PrHoIr

A relaxed structure of PrHoIr (GGA-PBE, the Alexandria database).

POSCAR file:
```
PrHoIr
1.0
6.923 0.000 0.000
0.000 6.923 0.000
0.000 0.000 6.923
Pr Ho Ir
4 4 4
direct
0.000 0.000 0.000
0.000 0.500 0.500
0.500 0.000 0.500
0.500 0.500 0.000
0.000 0.000 0.500
0.000 0.500 0.000
0.500 0.000 0.000
0.500 0.500 0.500
0.250 0.250 0.250
0.250 0.750 0.750
0.750 0.250 0.750
0.750 0.750 0.250
```



Which of them is the least stable? Correct choice: <2>.



<1>
# Pa3Ga2Ni4

A relaxed structure of Pa3Ga2Ni4 (GGA-PBE, the Alexandria database).

POSCAR file:
```
Pa3Ga2Ni4
1.0
5.215 -2.115 0.000
5.215 2.115 0.000
-3.634 0.000 7.069
Pa Ga Ni
3 2 4
direct
0.000 0.000 0.000
0.369 0.369 0.316
0.631 0.631 0.684
0.341 0.341 0.679
0.659 0.659 0.321
0.073 0.073 0.401
0.277 0.277 0.937
0.723 0.723 0.063
0.927 0.927 0.599
```



<2>
# Pa3Ga2Ni4

A relaxed structure of Pa3Ga2Ni4 (GGA-PBE, the Alexandria database).

POSCAR file:
```
Pa3Ga2Ni4
1.0
-1.600 3.786 6.622
1.600 -3.786 6.622
1.600 3.786 -6.622
Pa Ga Ni
3 2 4
direct
0.000 0.000 0.000
0.334 0.834 0.500
0.666 0.166 0.500
0.331 0.500 0.831
0.669 0.500 0.169
0.018 0.332 0.687
0.355 0.668 0.687
0.645 0.332 0.313
0.982 0.668 0.313
```



Which of them is the least stable? Correct choice: <2>.



<1>
# Ba2ScBr

A relaxed structure of Ba2ScBr (GGA-PBE, the Alexandria database).

POSCAR file:
```
Ba2ScBr
1.0
4.258 0.000 0.000
-2.129 3.688 0.000
0.000 0.000 30.689
Ba Sc Br
6 3 3
direct
0.000 0.000 0.246
0.000 0.000 0.754
0.333 0.667 0.420
0.333 0.667 0.913
0.667 0.333 0.087
0.667 0.333 0.580
0.000 0.000 0.000
0.333 0.667 0.667
0.667 0.333 0.333
0.000 0.000 0.500
0.333 0.667 0.167
0.667 0.333 0.833
```



<2>
# Ba2ScBr

A relaxed structure of Ba2ScBr (GGA-PBE, the Alexandria database).

POSCAR file:
```
Ba2ScBr
1.0
8.763 0.000 0.000
0.000 8.763 0.000
0.000 0.000 8.763
Ba Sc Br
8 4 4
direct
0.250 0.250 0.250
0.250 0.250 0.750
0.250 0.750 0.250
0.250 0.750 0.750
0.750 0.250 0.250
0.750 0.250 0.750
0.750 0.750 0.250
0.750 0.750 0.750
0.000 0.000 0.000
0.000 0.500 0.500
0.500 0.000 0.500
0.500 0.500 0.000
0.000 0.000 0.500
0.000 0.500 0.000
0.500 0.000 0.000
0.500 0.500 0.500
```



Which of them is the least stable? Correct choice: <2>.



<1>
# Al2ZnHg

A relaxed structure of Al2ZnHg (GGA-PBE, the Alexandria database).

POSCAR file:
```
Al2ZnHg
1.0
2.945 0.000 0.000
0.000 4.105 0.000
0.000 0.000 6.039
Al Zn Hg
2 1 1
direct
0.000 0.000 0.228
0.000 0.000 0.772
0.500 0.500 0.000
0.500 0.500 0.500
```



<2>
# Al2ZnHg

A relaxed structure of Al2ZnHg (GGA-PBE, the Alexandria database).

POSCAR file:
```
Al2ZnHg
1.0
2.743 0.000 0.000
0.000 5.471 0.000
0.000 0.000 10.297
Al Zn Hg
4 2 2
direct
0.000 0.000 0.231
0.000 0.000 0.769
0.500 0.500 0.231
0.500 0.500 0.769
0.000 0.500 0.000
0.500 0.000 0.000
0.000 0.500 0.500
0.500 0.000 0.500
```



Which of them is the least stable? Correct choice: <2>.